This record from the Alexandria database describes a relaxed structure of BeRe2PtBr. The functional is PBE.

The structure in POSCAR format:
```
BeRe2PtBr
1.0
-3.489 2.237 -2.710
2.289 -0.692 -3.519
-2.290 -4.344 -0.636
Pt Be Re Br
1 1 2 1
Direct
0.000 0.000 0.000 Pt
0.000 0.500 0.000 Be
0.500 0.000 0.000 Re
0.000 0.000 0.500 Re
0.500 0.500 0.500 Br
```

Calculated values
The value obtained for the energy relative to the elements, uncorrected is 1793 meV per atom. The calculation puts the calculated density at 10.45 g cm⁻³. Its density of states at the Fermi level is 1.171 states/eV per atom.